# LiNpAlOs | Alexandria via LeMat-Bulk | GGA-PBE | relaxed
# Total moment ... 3.5 μB per formula unit
# E_form ... 0.043 eV per atom
# DFT total energy ... -7.413 eV per atom
# V ... 17.1 Å³ per atom
data_LiNpAlOs
_symmetry_space_group_name_H-M 'F -4 3 m'
_symmetry_Int_Tables_number 216
_symmetry_space_group_name_Hall 'F -4 2 3'
_cell_length_a 6.486
_cell_length_b 6.486
_cell_length_c 6.486
_cell_angle_alpha 90.00
_cell_angle_beta 90.00
_cell_angle_gamma 90.00
loop_
_atom_site_label
_atom_site_type_symbol
_atom_site_fract_x
_atom_site_fract_y
_atom_site_fract_z
Li1 Li 0.000 0.000 0.000
Np1 Np 0.250 0.250 0.750
Al1 Al 0.250 0.250 0.250
Os1 Os 0.000 0.000 0.500